The following is a DFT calculation (SCAN) of a PBEsol-optimized structure of HfNbTe2.

The structure in POSCAR format:
```
HfNbTe2
1.0
-2.239 2.239 9.446
2.239 -2.239 9.446
2.239 2.239 -9.446
Hf Nb Te
2 2 4
direct
0.000 0.000 0.000 Hf
0.750 0.250 0.500 Hf
0.250 0.750 0.500 Nb
0.500 0.500 0.000 Nb
0.135 0.625 0.010 Te
0.375 0.385 0.510 Te
0.615 0.125 0.990 Te
0.875 0.865 0.490 Te
```

Properties
* total magnetization: 0.0000 μB/atom
* energy above the most stable polymorph in this dataset: 0.605 eV/atom
* space group: I-42d
* calculated density: 9.229 Mg/m³

The following is a DFT calculation (SCAN) of a PBEsol-optimized structure of Hf2TiNb.

The structure in POSCAR format:
```
Hf2TiNb
1.0
0.000 3.369 3.369
3.369 0.000 3.369
3.369 3.369 0.000
Hf Ti Nb
2 1 1
direct
0.250 0.250 0.250 Hf
0.750 0.750 0.750 Hf
0.000 0.000 0.000 Ti
0.500 0.500 0.500 Nb
```

Properties
* calculated formation energy: 0.04 eV/atom
* total magnetization: 0.2890 μB/atom
* space group: Fm-3m
* calculated density: 10.808 Mg/m³

The following is a DFT calculation (SCAN) of a PBEsol-optimized structure of HfTiNb2.

The structure in POSCAR format:
```
HfTiNb2
1.0
0.000 3.300 3.300
3.300 0.000 3.300
3.300 3.300 0.000
Hf Ti Nb
1 1 2
direct
0.000 0.000 0.000 Hf
0.500 0.500 0.500 Ti
0.250 0.250 0.250 Nb
0.750 0.750 0.750 Nb
```

Properties
* calculated formation energy: 0.10 eV/atom
* total magnetization: 0.0003 μB/atom
* space group: Fm-3m
* calculated density: 9.525 Mg/m³

The following is a DFT calculation (SCAN) of a PBEsol-optimized structure of HfTiNb2W.

The structure in POSCAR format:
```
HfTiNb2W
1.0
4.474 0.000 0.000
0.000 4.474 0.000
0.000 0.000 4.875
Hf Ti Nb W
1 1 2 1
direct
0.000 0.000 0.000 Hf
0.000 0.000 0.500 Ti
0.000 0.500 0.500 Nb
0.500 0.000 0.500 Nb
0.500 0.500 0.000 W
```

Properties
* calculated formation energy: 1.53 eV/atom
* total magnetization: 0.0000 μB/atom
* space group: P4/mmm
* calculated density: 10.143 Mg/m³

The following is a DFT calculation (SCAN) of a PBEsol-optimized structure of HfNb2Tl2.

The structure in POSCAR format:
```
HfNb2Tl2
1.0
-2.086 2.086 6.461
2.086 -2.086 6.461
2.086 2.086 -6.461
Hf Nb Tl
1 2 2
direct
0.000 0.000 0.000 Hf
0.411 0.411 0.000 Nb
0.589 0.589 0.000 Nb
0.250 0.750 0.500 Tl
0.750 0.250 0.500 Tl
```

Properties
* calculated formation energy: 0.60 eV/atom
* total magnetization: 0.0000 μB/atom
* space group: I4/mmm
* calculated density: 11.417 Mg/m³

The following is a DFT calculation (SCAN) of a PBEsol-optimized structure of HfNb2W.

The structure in POSCAR format:
```
HfNb2W
1.0
0.000 3.280 3.280
3.280 0.000 3.280
3.280 3.280 0.000
Hf Nb W
1 2 1
direct
0.000 0.000 0.000 Hf
0.250 0.250 0.250 Nb
0.750 0.750 0.750 Nb
0.500 0.500 0.500 W
```

Properties
* calculated formation energy: 0.05 eV/atom
* total magnetization: 0.0000 μB/atom
* space group: Fm-3m
* calculated density: 12.901 Mg/m³

The following is a DFT calculation (SCAN) of a PBEsol-optimized structure of Hf3NbZn.

The structure in POSCAR format:
```
Hf3NbZn
1.0
4.977 0.000 0.000
0.000 4.977 0.000
0.000 0.000 4.977
Hf Nb Zn
3 1 1
direct
0.000 0.000 0.500 Hf
0.000 0.500 0.000 Hf
0.500 0.000 0.000 Hf
0.000 0.000 0.000 Nb
0.500 0.500 0.500 Zn
```

Properties
* calculated formation energy: 1.12 eV/atom
* total magnetization: 0.0000 μB/atom
* space group: Pm-3m
* calculated density: 9.342 Mg/m³

The following is a DFT calculation (SCAN) of a PBEsol-optimized structure of HfZrNb2.

The structure in POSCAR format:
```
HfZrNb2
1.0
0.000 3.381 3.381
3.381 0.000 3.381
3.381 3.381 0.000
Hf Zr Nb
1 1 2
direct
0.000 0.000 0.000 Hf
0.500 0.500 0.500 Zr
0.250 0.250 0.250 Nb
0.750 0.750 0.750 Nb
```

Properties
* calculated formation energy: 0.12 eV/atom
* total magnetization: 0.0000 μB/atom
* energy above the most stable polymorph in this dataset: 0.046 eV/atom
* space group: Fm-3m
* calculated density: 9.784 Mg/m³

The following is a DFT calculation (SCAN) of a PBEsol-optimized structure of HfZrNb2.

The structure in POSCAR format:
```
HfZrNb2
1.0
1.664 -2.457 0.000
1.664 2.457 0.000
0.000 0.000 9.564
Hf Zr Nb
1 1 2
direct
0.000 0.000 0.000 Hf
0.500 0.500 0.283 Zr
0.000 0.000 0.531 Nb
0.500 0.500 0.755 Nb
```

Properties
* calculated formation energy: 0.08 eV/atom
* total magnetization: 0.0000 μB/atom
* energy above the most stable polymorph in this dataset: 0.000 eV/atom
* space group: Cmm2
* calculated density: 9.673 Mg/m³

The following is a DFT calculation (SCAN) of a PBEsol-optimized structure of Hf2ZrNb.

The structure in POSCAR format:
```
Hf2ZrNb
1.0
0.000 3.429 3.429
3.429 0.000 3.429
3.429 3.429 0.000
Hf Zr Nb
2 1 1
direct
0.250 0.250 0.250 Hf
0.750 0.750 0.750 Hf
0.000 0.000 0.000 Zr
0.500 0.500 0.500 Nb
```

Properties
* calculated formation energy: 0.12 eV/atom
* total magnetization: 0.0000 μB/atom
* space group: Fm-3m
* calculated density: 11.140 Mg/m³

The following is a DFT calculation (SCAN) of a PBEsol-optimized structure of Nd3HfSb5.

The structure in POSCAR format:
```
Nd3HfSb5
1.0
9.379 0.000 0.000
-4.689 8.122 0.000
0.000 0.000 6.225
Nd Hf Sb
6 2 10
direct
0.000 0.382 0.250 Nd
0.000 0.618 0.750 Nd
0.382 0.000 0.250 Nd
0.382 0.382 0.750 Nd
0.618 0.000 0.750 Nd
0.618 0.618 0.250 Nd
0.000 0.000 0.000 Hf
0.000 0.000 0.500 Hf
0.000 0.264 0.750 Sb
0.000 0.736 0.250 Sb
0.264 0.000 0.750 Sb
0.264 0.264 0.250 Sb
0.333 0.667 0.000 Sb
0.333 0.667 0.500 Sb
0.667 0.333 0.000 Sb
0.667 0.333 0.500 Sb
0.736 0.000 0.250 Sb
0.736 0.736 0.750 Sb
```

Properties
* E: -777.96 eV per cell
* total magnetization: 0.0000 μB/atom
* space group: P6_3/mcm
* calculated density: 8.544 Mg/m³

The following is a DFT calculation (SCAN) of a PBEsol-optimized structure of Hf2Ni7.

The structure in POSCAR format:
```
Hf2Ni7
1.0
2.298 -4.037 0.000
2.298 4.037 0.000
-1.705 0.000 5.932
Hf Ni
2 7
direct
0.106 0.106 0.271 Hf
0.894 0.894 0.729 Hf
0.000 0.500 0.000 Ni
0.208 0.537 0.655 Ni
0.463 0.792 0.345 Ni
0.500 0.000 0.000 Ni
0.500 0.500 0.000 Ni
0.537 0.208 0.655 Ni
0.792 0.463 0.345 Ni
```

Properties
* calculated formation energy: -0.46 eV/atom
* total magnetization: 0.0000 μB/atom
* space group: C2/m
* calculated density: 11.585 Mg/m³

The following is a DFT calculation (SCAN) of a PBEsol-optimized structure of Hf7Ni10.

The structure in POSCAR format:
```
Hf7Ni10
1.0
6.065 -4.483 0.000
6.065 4.483 0.000
0.000 0.000 8.973
Hf Ni
14 20
direct
0.000 0.000 0.000 Hf
0.003 0.497 0.250 Hf
0.185 0.815 0.686 Hf
0.192 0.192 0.500 Hf
0.308 0.308 0.000 Hf
0.315 0.685 0.186 Hf
0.497 0.003 0.750 Hf
0.500 0.500 0.500 Hf
0.503 0.997 0.250 Hf
0.685 0.315 0.814 Hf
0.692 0.692 0.000 Hf
0.808 0.808 0.500 Hf
0.815 0.185 0.314 Hf
0.997 0.503 0.750 Hf
0.063 0.647 0.993 Ni
0.107 0.893 0.395 Ni
0.136 0.153 0.792 Ni
0.147 0.563 0.493 Ni
0.153 0.136 0.208 Ni
0.347 0.364 0.708 Ni
0.353 0.937 0.993 Ni
0.364 0.347 0.292 Ni
0.393 0.607 0.895 Ni
0.437 0.853 0.493 Ni
0.563 0.147 0.507 Ni
0.607 0.393 0.105 Ni
0.636 0.653 0.708 Ni
0.647 0.063 0.007 Ni
0.653 0.636 0.292 Ni
0.847 0.864 0.792 Ni
0.853 0.437 0.507 Ni
0.864 0.847 0.208 Ni
0.893 0.107 0.605 Ni
0.937 0.353 0.007 Ni
```

Properties
* calculated formation energy: -0.55 eV/atom
* total magnetization: 0.0000 μB/atom
* space group: Cmce
* calculated density: 12.497 Mg/m³

The following is a DFT calculation (SCAN) of a PBEsol-optimized structure of Hf2Ni.

The structure in POSCAR format:
```
Hf2Ni
1.0
-3.166 3.166 2.568
3.166 -3.166 2.568
3.166 3.166 -2.568
Hf Ni
4 2
direct
0.164 0.664 0.828 Hf
0.336 0.164 0.500 Hf
0.664 0.836 0.500 Hf
0.836 0.336 0.172 Hf
0.250 0.250 0.000 Ni
0.750 0.750 0.000 Ni
```

Properties
* calculated formation energy: -0.38 eV/atom
* total magnetization: 0.0000 μB/atom
* space group: I4/mcm
* calculated density: 13.403 Mg/m³

The following is a DFT calculation (SCAN) of a PBEsol-optimized structure of HfNi.

The structure in POSCAR format:
```
HfNi
1.0
1.598 -4.864 0.000
1.598 4.864 0.000
0.000 0.000 4.016
Hf Ni
2 2
direct
0.140 0.860 0.750 Hf
0.860 0.140 0.250 Hf
0.416 0.584 0.750 Ni
0.584 0.416 0.250 Ni
```

Properties
* calculated formation energy: -0.58 eV/atom
* total magnetization: 0.0000 μB/atom
* space group: Cmcm
* calculated density: 12.620 Mg/m³

The following is a DFT calculation (SCAN) of a PBEsol-optimized structure of HfNi2.

The structure in POSCAR format:
```
HfNi2
1.0
0.000 3.410 3.410
3.410 0.000 3.410
3.410 3.410 0.000
Hf Ni
2 4
direct
0.125 0.125 0.125 Hf
0.875 0.875 0.875 Hf
0.000 0.500 0.500 Ni
0.500 0.000 0.500 Ni
0.500 0.500 0.000 Ni
0.500 0.500 0.500 Ni
```

Properties
* calculated formation energy: -0.52 eV/atom
* total magnetization: 0.0000 μB/atom
* space group: Fd-3m
* calculated density: 12.386 Mg/m³

The following is a DFT calculation (SCAN) of a PBEsol-optimized structure of HfNiO3.

The structure in POSCAR format:
```
HfNiO3
1.0
3.639 0.000 0.000
0.000 3.639 0.000
0.000 0.000 3.639
Hf Ni O
1 1 3
direct
0.000 0.000 0.000 Hf
0.500 0.500 0.500 Ni
0.000 0.500 0.500 O
0.500 0.000 0.500 O
0.500 0.500 0.000 O
```

Properties
* E: -105.50 eV per cell
* total magnetization: 0.0005 μB/atom
* space group: Pm-3m
* calculated density: 9.829 Mg/m³

The following is a DFT calculation (SCAN) of a PBEsol-optimized structure of Hf2Ni3P3.

The structure in POSCAR format:
```
Hf2Ni3P3
1.0
12.152 0.000 0.000
0.000 3.567 0.000
0.000 0.000 9.880
Hf Ni P
8 12 12
direct
0.004 0.250 0.163 Hf
0.209 0.750 0.574 Hf
0.291 0.250 0.074 Hf
0.496 0.750 0.663 Hf
0.504 0.250 0.337 Hf
0.709 0.750 0.926 Hf
0.791 0.250 0.426 Hf
0.996 0.750 0.837 Hf
0.017 0.250 0.596 Ni
0.165 0.750 0.274 Ni
0.218 0.750 0.865 Ni
0.282 0.250 0.365 Ni
0.335 0.250 0.774 Ni
0.483 0.750 0.096 Ni
0.517 0.250 0.904 Ni
0.665 0.750 0.226 Ni
0.718 0.750 0.635 Ni
0.782 0.250 0.135 Ni
0.835 0.250 0.726 Ni
0.983 0.750 0.404 Ni
0.101 0.250 0.397 P
0.128 0.750 0.054 P
0.145 0.250 0.763 P
0.355 0.750 0.263 P
0.372 0.250 0.554 P
0.399 0.750 0.897 P
0.601 0.250 0.103 P
0.628 0.750 0.446 P
0.645 0.250 0.737 P
0.855 0.750 0.237 P
0.872 0.250 0.946 P
0.899 0.750 0.603 P
```

Properties
* calculated formation energy: -1.05 eV/atom
* total magnetization: 0.0000 μB/atom
* space group: Pnma
* calculated density: 9.710 Mg/m³

The following is a DFT calculation (SCAN) of a PBEsol-optimized structure of Hf2NiP2.

The structure in POSCAR format:
```
Hf2NiP2
1.0
-1.651 1.651 7.233
1.651 -1.651 7.233
1.651 1.651 -7.233
Hf Ni P
2 1 2
direct
0.107 0.107 0.000 Hf
0.893 0.893 0.000 Hf
0.500 0.500 0.000 Ni
0.250 0.750 0.500 P
0.750 0.250 0.500 P
```

Properties
* calculated formation energy: -0.51 eV/atom
* total magnetization: 0.0000 μB/atom
* space group: I4/mmm
* calculated density: 10.057 Mg/m³

The following is a DFT calculation (SCAN) of a PBEsol-optimized structure of Hf4NiP.

The structure in POSCAR format:
```
Hf4NiP
1.0
6.322 0.000 0.000
0.000 6.322 0.000
0.000 0.000 5.191
Hf Ni P
8 2 2
direct
0.158 0.338 0.000 Hf
0.158 0.662 0.500 Hf
0.338 0.158 0.500 Hf
0.338 0.842 0.000 Hf
0.662 0.158 0.000 Hf
0.662 0.842 0.500 Hf
0.842 0.338 0.500 Hf
0.842 0.662 0.000 Hf
0.000 0.000 0.250 Ni
0.000 0.000 0.750 Ni
0.500 0.500 0.250 P
0.500 0.500 0.750 P
```

Properties
* calculated formation energy: -0.70 eV/atom
* total magnetization: 0.0000 μB/atom
* space group: P4/mcc
* calculated density: 12.862 Mg/m³

The following is a DFT calculation (SCAN) of a PBEsol-optimized structure of HfNiP2S.

The structure in POSCAR format:
```
HfNiP2S
1.0
4.245 0.000 0.000
0.000 4.245 0.000
0.000 0.000 4.510
Hf Ni P S
1 1 2 1
direct
0.000 0.000 0.000 Hf
0.500 0.500 0.500 Ni
0.000 0.500 0.500 P
0.500 0.000 0.500 P
0.500 0.500 0.000 S
```

Properties
* E: -108.42 eV per cell
* total magnetization: 0.0000 μB/atom
* space group: P4/mmm
* calculated density: 6.768 Mg/m³

The following is a DFT calculation (SCAN) of a PBEsol-optimized structure of HfTaNiPb2.

The structure in POSCAR format:
```
HfTaNiPb2
1.0
5.297 0.000 0.000
0.000 5.297 0.000
0.000 0.000 4.518
Hf Ta Ni Pb
1 1 1 2
direct
0.000 0.000 0.000 Hf
0.500 0.500 0.500 Ta
0.500 0.500 0.000 Ni
0.000 0.500 0.500 Pb
0.500 0.000 0.500 Pb
```

Properties
* calculated formation energy: 1.18 eV/atom
* total magnetization: 0.0000 μB/atom
* space group: P4/mmm
* calculated density: 10.904 Mg/m³

The following is a DFT calculation (SCAN) of a PBEsol-optimized structure of Hf2Ni2Pd.

The structure in POSCAR format:
```
Hf2Ni2Pd
1.0
6.866 0.000 0.000
0.000 6.866 0.000
0.000 0.000 3.211
Hf Ni Pd
4 4 2
direct
0.174 0.326 0.000 Hf
0.326 0.826 0.000 Hf
0.674 0.174 0.000 Hf
0.826 0.674 0.000 Hf
0.125 0.625 0.500 Ni
0.375 0.125 0.500 Ni
0.625 0.875 0.500 Ni
0.875 0.375 0.500 Ni
0.000 0.000 0.500 Pd
0.500 0.500 0.500 Pd
```

Properties
* calculated formation energy: -0.67 eV/atom
* total magnetization: 0.0000 μB/atom
* space group: P4/mbm
* calculated density: 12.744 Mg/m³

The following is a DFT calculation (SCAN) of a PBEsol-optimized structure of Hf3NiPd.

The structure in POSCAR format:
```
Hf3NiPd
1.0
4.890 0.000 0.000
0.000 4.890 0.000
0.000 0.000 4.890
Hf Ni Pd
3 1 1
direct
0.000 0.000 0.500 Hf
0.000 0.500 0.000 Hf
0.500 0.000 0.000 Hf
0.500 0.500 0.500 Ni
0.000 0.000 0.000 Pd
```

Properties
* calculated formation energy: 0.84 eV/atom
* total magnetization: 0.0005 μB/atom
* space group: Pm-3m
* calculated density: 9.950 Mg/m³